{"formula": "RbZr2I2", "functional": "PBE", "state": "relaxed", "volume_a3_per_cell": 307.0, "total_energy_ev_per_atom": -4.0092, "lattice": [[9.366, 0.000, 0.000], [0.000, 9.366, 0.000], [0.000, 0.000, 3.500]], "species": ["Rb", "Rb", "Zr", "Zr", "Zr", "Zr", "I", "I", "I", "I"], "frac_coords": [[0.000, 0.000, 0.000], [0.500, 0.500, 0.000], [0.102, 0.398, 0.000], [0.398, 0.898, 0.000], [0.602, 0.102, 0.000], [0.898, 0.602, 0.000], [0.169, 0.669, 0.500], [0.331, 0.169, 0.500], [0.669, 0.831, 0.500], [0.831, 0.331, 0.500]]}



{"formula": "KPaSb2O8", "functional": "PBE", "state": "relaxed", "volume_a3_per_cell": 195.1, "total_energy_ev_per_atom": -6.7205, "lattice": [[-3.808, 3.808, 3.363], [3.808, -3.808, 3.363], [3.808, 3.808, -3.363]], "species": ["K", "Pa", "Sb", "Sb", "O", "O", "O", "O", "O", "O", "O", "O"], "frac_coords": [[0.000, 0.000, 0.000], [0.750, 0.250, 0.500], [0.250, 0.750, 0.500], [0.500, 0.500, 0.000], [0.045, 0.372, 0.328], [0.045, 0.717, 0.672], [0.131, 0.338, 0.793], [0.283, 0.955, 0.328], [0.545, 0.338, 0.207], [0.628, 0.955, 0.672], [0.662, 0.455, 0.793], [0.662, 0.869, 0.207]]}